Record 1
Below is a relaxed structure of Th4In5Ir2, with properties calculated at the GGA-PBE level.

Values from the calculation:
ΔE_f   -0.55 eV per atom
D(E_F)   0.9678 states/eV per atom
Magnetization   0.00 μB per atom

a = 7.9260 Å, b = 3.7707 Å, c = 9.8353 Å
α = 90.00°, β = 94.02°, γ = 90.00°
Space group P2/m (No. 10)
Inequivalent atoms, fractional coordinates:
Th  0.1782  0.0000  0.3518 (multiplicity 2)
Th  0.2197  0.0000  0.9418 (multiplicity 2)
In  0.1741  0.5000  0.6482 (multiplicity 2)
In  0.4602  0.5000  0.1785 (multiplicity 2)
In  0.5000  0.5000  0.5000 (multiplicity 1)
Ir  0.0802  0.5000  0.1413 (multiplicity 2)

=====

Record 2
Below is a relaxed structure of FeReAu2, with properties calculated at the GGA-PBE level.

Values from the calculation:
ΔE_f   0.54 eV per atom
D(E_F)   0.8602 states/eV per atom
Magnetization   0.87 μB per atom

a = 4.8780 Å, b = 4.8780 Å, c = 2.7180 Å
α = 90.00°, β = 90.00°, γ = 90.00°
Space group P4/mmm (No. 123)
Inequivalent atoms, fractional coordinates:
Fe  0.0000  0.0000  0.0000 (multiplicity 1)
Re  0.5000  0.5000  0.0000 (multiplicity 1)
Au  0.0000  0.5000  0.5000 (multiplicity 2)

=====

Record 3
Below is a relaxed structure of Si2AgTe, with properties calculated at the GGA-PBE level.

Values from the calculation:
D(E_F)   0.2786 states/eV per atom
Magnetization   0.00 μB per atom
Total DFT energy (no corrections)   -3.89 eV/atom

a = 3.1712 Å, b = 3.4571 Å, c = 7.8400 Å
α = 90.00°, β = 101.55°, γ = 90.00°
Space group Pm (No. 6)
Inequivalent atoms, fractional coordinates:
Si  0.0000  0.0000  0.0000 (multiplicity 1)
Si  0.4397  0.5000  0.8817 (multiplicity 1)
Ag  0.1339  0.5000  0.2617 (multiplicity 1)
Te  0.2851  0.0000  0.5676 (multiplicity 1)

=====

Record 4
Below is a relaxed structure of CsNdNb2O7, with properties calculated at the GGA-PBE level.

Values from the calculation:
D(E_F)   0.0000 states/eV per atom
Magnetization   0.00 μB per atom
Total DFT energy (no corrections)   -8.25 eV/atom

a = 11.4945 Å, b = 5.4942 Å, c = 5.5622 Å
α = 90.00°, β = 90.00°, γ = 90.00°
Space group Pmc2_1 (No. 26)
Inequivalent atoms, fractional coordinates:
Cs  0.0000  0.2406  0.0000 (multiplicity 2)
Nd  0.5000  0.2504  0.0277 (multiplicity 2)
Nb  0.3001  0.2484  0.4870 (multiplicity 4)
O  0.1456  0.3000  0.4950 (multiplicity 4)
O  0.3100  0.0566  0.1690 (multiplicity 4)
O  0.3580  0.4646  0.7570 (multiplicity 4)
O  0.5000  0.1706  0.4524 (multiplicity 2)

=====

Record 5
Below is a relaxed structure of Nd2ErTh3Sb6, with properties calculated at the GGA-PBE level.

Values from the calculation:
D(E_F)   0.5145 states/eV per atom
Magnetization   0.00 μB per atom
Total DFT energy (no corrections)   -6.13 eV/atom

a = 19.5599 Å, b = 4.4928 Å, c = 8.9576 Å
α = 90.00°, β = 103.12°, γ = 90.00°
Space group C2/m (No. 12)
Inequivalent atoms, fractional coordinates:
Nd  0.1663  0.0000  0.3331 (multiplicity 4)
Er  0.0000  0.5000  0.0000 (multiplicity 2)
Th  0.0000  0.5000  0.5000 (multiplicity 2)
Th  0.1685  0.0000  0.8336 (multiplicity 4)
Sb  0.0011  0.0000  0.7578 (multiplicity 4)
Sb  0.1632  0.5000  0.0806 (multiplicity 4)
Sb  0.1664  0.5000  0.5834 (multiplicity 4)

=====

Record 6
Below is a relaxed structure of KCa2La, with properties calculated at the GGA-PBE level.

Values from the calculation:
ΔE_f   0.13 eV per atom
D(E_F)   1.3082 states/eV per atom
Magnetization   0.00 μB per atom

a = 3.8648 Å, b = 3.8616 Å, c = 12.3033 Å
α = 90.00°, β = 90.09°, γ = 90.00°
Space group P2/m (No. 10)
Inequivalent atoms, fractional coordinates:
K  0.0000  0.0000  0.0000 (multiplicity 1)
Ca  0.4985  0.5000  0.2820 (multiplicity 2)
La  0.0000  0.0000  0.5000 (multiplicity 1)

=====

Record 7
Below is a relaxed structure of BePt2, with properties calculated at the GGA-PBE level.

Values from the calculation:
ΔE_f   -0.43 eV per atom
D(E_F)   0.6056 states/eV per atom
Magnetization   0.00 μB per atom

a = 2.7657 Å, b = 12.8563 Å, c = 4.5373 Å
α = 90.00°, β = 90.00°, γ = 90.00°
Space group Cmcm (No. 63)
Inequivalent atoms, fractional coordinates:
Be  0.0000  0.2163  0.2500 (multiplicity 4)
Pt  0.0000  0.1362  0.7500 (multiplicity 4)
Pt  0.0000  0.4329  0.7500 (multiplicity 4)

=====

Record 8
Below is a relaxed structure of Rb7HgI2O2, with properties calculated at the GGA-PBE level.

Values from the calculation:
D(E_F)   0.3282 states/eV per atom
Magnetization   0.00 μB per atom
Total DFT energy (no corrections)   -2.60 eV/atom

a = 4.8859 Å, b = 27.7654 Å, c = 7.8711 Å
α = 90.00°, β = 90.00°, γ = 90.00°
Space group Imm2 (No. 44)
Inequivalent atoms, fractional coordinates:
Rb  0.0000  0.0000  0.0000 (multiplicity 2)
Rb  0.0000  0.0874  0.3921 (multiplicity 4)
Rb  0.0000  0.2016  0.1101 (multiplicity 4)
Rb  0.0000  0.3881  0.4050 (multiplicity 4)
Hg  0.0000  0.5000  0.1034 (multiplicity 2)
I  0.0000  0.2007  0.6185 (multiplicity 4)
O  0.0000  0.1026  0.0730 (multiplicity 4)

=====

Record 9
Below is a relaxed structure of Tm2Sc3Hg2, with properties calculated at the GGA-PBE level.

Values from the calculation:
ΔE_f   -0.24 eV per atom
D(E_F)   1.3639 states/eV per atom
Magnetization   0.00 μB per atom

a = 5.1022 Å, b = 5.1022 Å, c = 22.8614 Å
α = 90.00°, β = 90.00°, γ = 120.00°
Space group R-3m (No. 166, hexagonal axes)
Inequivalent atoms, fractional coordinates:
Tm  0.0000  0.0000  0.0748 (multiplicity 6)
Sc  0.0000  0.0000  0.3431 (multiplicity 6)
Sc  0.0000  0.0000  0.5000 (multiplicity 3)
Hg  0.0000  0.0000  0.2160 (multiplicity 6)

=====

Record 10
Below is a relaxed structure of La4SbTeC, with properties calculated at the GGA-PBE level.

Values from the calculation:
D(E_F)   1.0946 states/eV per atom
Magnetization   0.00 μB per atom
Total DFT energy (no corrections)   -5.97 eV/atom

a = 7.1928 Å, b = 16.6385 Å, c = 7.2018 Å
α = 90.00°, β = 90.00°, γ = 90.00°
Space group Cmcm (No. 63)
Inequivalent atoms, fractional coordinates:
La  0.0000  0.0905  0.2500 (multiplicity 4)
La  0.0000  0.4079  0.2500 (multiplicity 4)
La  0.2500  0.2500  0.0000 (multiplicity 8)
Sb  0.0000  0.1094  0.7500 (multiplicity 4)
Te  0.0000  0.3895  0.7500 (multiplicity 4)
C  0.0000  0.2535  0.2500 (multiplicity 4)

=====

Record 11
Below is a relaxed structure of Tc2PtSN, with properties calculated at the GGA-PBE level.

Values from the calculation:
D(E_F)   0.8080 states/eV per atom
Magnetization   1.33 μB per atom
Total DFT energy (no corrections)   -5.44 eV/atom

a = 5.1737 Å, b = 5.1737 Å, c = 4.4321 Å
α = 90.00°, β = 90.00°, γ = 90.00°
Space group P4/mmm (No. 123)
Inequivalent atoms, fractional coordinates:
Tc  0.0000  0.5000  0.0000 (multiplicity 2)
Pt  0.0000  0.0000  0.0000 (multiplicity 1)
S  0.0000  0.0000  0.5000 (multiplicity 1)
N  0.5000  0.5000  0.5000 (multiplicity 1)

=====

Record 12
Below is a relaxed structure of BaInIr, with properties calculated at the GGA-PBE level.

Values from the calculation:
ΔE_f   0.81 eV per atom
D(E_F)   1.4009 states/eV per atom
Magnetization   0.00 μB per atom

a = 7.3440 Å, b = 7.3440 Å, c = 7.3440 Å
α = 90.00°, β = 90.00°, γ = 90.00°
Space group F-43m (No. 216)
Inequivalent atoms, fractional coordinates:
Ba  0.0000  0.0000  0.0000 (multiplicity 4)
In  0.2500  0.2500  0.2500 (multiplicity 4)
Ir  0.2500  0.2500  0.7500 (multiplicity 4)